[1]
SeICl | PBE | optimized geometry

The structure belongs to space group C2/m (No. 12); the cell edges are 12.894, 3.994 and 8.488 Å and the angles 90.00°, 90.90° and 90.00°. The inequivalent atoms are Se at (0.052, 0.000, 0.362), I at (0.190, 0.500, 0.288) and Cl at (0.159, 0.500, 0.780).

Its total magnetization is 0.0000 μB per atom. Its uncorrected formation energy is 11.4 kJ per mole of atoms. The total energy comes out at -2.18 eV per atom. Its energy above the most stable polymorph in this dataset is 0.198 eV/atom. As for the theoretical density: 3.67 g/cm³.

[2]
Re2TcPt | PBE | optimized geometry

The structure belongs to space group P4/mmm (No. 123); the cell edges are 3.305, 3.305 and 5.579 Å and the angles 90.00°, 90.00° and 90.00°. The inequivalent atoms are Re at (0.000, 0.000, 0.240), Tc at (0.500, 0.500, 0.000) and Pt at (0.500, 0.500, 0.500).

Its formation energy from the elements is 253.9 meV/atom. Its total magnetization is 0.0000 μB per atom. The total energy comes out at -10.07 eV per atom. Its energy above the most stable polymorph in this dataset is 0.339 eV/atom. As for the theoretical density: 18.13 g/cm³.

The lowest theoretical density belongs to which entry? SeICl

Which of these has the lowest theoretical density? SeICl

The lowest theoretical density belongs to which entry? SeICl

Which of these has the highest theoretical density? Re2TcPt